The following is a GGA-PBE calculation of crystalline Si2AgW at its relaxed geometry, from Alexandria.

Cell lengths 4.2950, 4.2950, 3.2312 Å; angles 90.00, 90.00, 90.00 degrees
With the nearest neighbours (Å) after each atom.
Atoms (fractional coordinates):
Si  0.0000  0.5000  0.0000  4 W 2.69, 4 Ag 2.69
Si  0.5000  0.0000  0.0000  4 W 2.69, 4 Ag 2.69
Ag  0.0000  0.0000  0.5000  8 Si 2.69
W  0.5000  0.5000  0.5000  8 Si 2.69

Calculated values
Its magnetization is 0.0000 μB/atom. The density is 9.69 Mg/m³. The uncorrected formation energy is 0.35 eV/atom. Its total energy is -6.314 eV/atom.